--- a ---
! BaMnMo2 (PBE, optimized geometry); values from VASP
! Spin magnetization: 1.83 Bohr magnetons per cell
&SYSTEM
  ibrav = 0, nat = 4, ntyp = 3
/
ATOMIC_SPECIES
Ba 137.33 Ba.upf
Mn 54.94 Mn.upf
Mo 95.94 Mo.upf
ATOMIC_POSITIONS crystal
Ba 0.000 0.000 0.000
Mn 0.224 0.224 0.621
Mo 0.514 0.514 0.520
Mo 0.800 0.800 0.394
CELL_PARAMETERS angstrom
4.572 -1.664 0.000
4.572 1.664 0.000
-1.844 0.000 6.260

---

--- b ---
! BaMnMo2 (PBE, optimized geometry); values from VASP
! Spin magnetization: 0.17 Bohr magnetons per cell
&SYSTEM
  ibrav = 0, nat = 4, ntyp = 3
/
ATOMIC_SPECIES
Ba 137.33 Ba.upf
Mn 54.94 Mn.upf
Mo 95.94 Mo.upf
ATOMIC_POSITIONS crystal
Ba 0.000 0.000 0.000
Mn 0.500 0.500 0.500
Mo 0.225 0.225 0.225
Mo 0.775 0.775 0.775
CELL_PARAMETERS angstrom
1.569 0.906 9.463
-1.569 0.906 9.463
0.000 -1.812 9.463

---

Energy ordering: a at the bottom, the next structure 25.9 kJ/mol of atoms above.

---

--- a ---
! BaMnMo2 (PBE, optimized geometry); values from VASP
! Spin magnetization: 2.67 Bohr magnetons per cell
&SYSTEM
  ibrav = 0, nat = 4, ntyp = 3
/
ATOMIC_SPECIES
Ba 137.33 Ba.upf
Mn 54.94 Mn.upf
Mo 95.94 Mo.upf
ATOMIC_POSITIONS crystal
Ba 0.000 0.000 0.000
Mn 0.500 0.500 0.000
Mo 0.000 0.500 0.500
Mo 0.500 0.000 0.500
CELL_PARAMETERS angstrom
3.189 0.000 0.000
0.000 4.801 0.000
0.000 0.000 5.103

---

--- b ---
! BaMnMo2 (PBE, optimized geometry); values from VASP
! Spin magnetization: 1.28 Bohr magnetons per cell
&SYSTEM
  ibrav = 0, nat = 4, ntyp = 3
/
ATOMIC_SPECIES
Ba 137.33 Ba.upf
Mn 54.94 Mn.upf
Mo 95.94 Mo.upf
ATOMIC_POSITIONS crystal
Ba 0.000 0.000 0.000
Mn 0.000 0.000 0.500
Mo 0.500 0.500 0.353
Mo 0.500 0.500 0.647
CELL_PARAMETERS angstrom
3.331 0.000 0.000
0.000 3.331 0.000
0.000 0.000 7.820

---

--- c ---
! BaMnMo2 (PBE, optimized geometry); values from VASP
! Spin magnetization: 3.06 Bohr magnetons per cell
&SYSTEM
  ibrav = 0, nat = 4, ntyp = 3
/
ATOMIC_SPECIES
Ba 137.33 Ba.upf
Mn 54.94 Mn.upf
Mo 95.94 Mo.upf
ATOMIC_POSITIONS crystal
Ba 0.000 0.000 0.000
Mn 0.500 0.500 0.000
Mo 0.000 0.500 0.500
Mo 0.500 0.000 0.500
CELL_PARAMETERS angstrom
2.754 -5.216 0.000
2.754 5.216 0.000
0.000 0.000 2.824

---

Energy ordering: b at the bottom, the next structure 52.7 kJ/mol of atoms above.

---

--- a ---
! BaMnMo2 (PBE, optimized geometry); values from VASP
! Spin magnetization: 0.01 Bohr magnetons per cell
&SYSTEM
  ibrav = 0, nat = 8, ntyp = 3
/
ATOMIC_SPECIES
Ba 137.33 Ba.upf
Mn 54.94 Mn.upf
Mo 95.94 Mo.upf
ATOMIC_POSITIONS crystal
Ba 0.375 0.625 0.750
Ba 0.625 0.375 0.250
Mn 0.125 0.875 0.250
Mn 0.875 0.125 0.750
Mo 0.000 0.000 0.000
Mo 0.000 0.000 0.500
Mo 0.000 0.500 0.000
Mo 0.500 0.000 0.500
CELL_PARAMETERS angstrom
-2.541 2.541 8.018
2.541 -2.541 8.018
2.541 2.541 -8.018

---

--- b ---
! BaMnMo2 (PBE, optimized geometry); values from VASP
! Spin magnetization: 0.00 Bohr magnetons per cell
&SYSTEM
  ibrav = 0, nat = 4, ntyp = 3
/
ATOMIC_SPECIES
Ba 137.33 Ba.upf
Mn 54.94 Mn.upf
Mo 95.94 Mo.upf
ATOMIC_POSITIONS crystal
Ba 0.000 0.000 0.000
Mn 0.500 0.500 0.500
Mo 0.200 0.200 0.200
Mo 0.800 0.800 0.800
CELL_PARAMETERS angstrom
2.055 1.187 6.484
-2.055 1.187 6.484
0.000 -2.373 6.484

---

Energy ordering: b at the bottom, the next structure 53.3 kJ/mol of atoms above.

---

--- a ---
! BaMnMo2 (PBE, optimized geometry); values from VASP
! Spin magnetization: 2.79 Bohr magnetons per cell
&SYSTEM
  ibrav = 0, nat = 4, ntyp = 3
/
ATOMIC_SPECIES
Ba 137.33 Ba.upf
Mn 54.94 Mn.upf
Mo 95.94 Mo.upf
ATOMIC_POSITIONS crystal
Ba 0.000 0.000 0.000
Mn 0.750 0.750 0.750
Mo 0.250 0.250 0.250
Mo 0.500 0.500 0.500
CELL_PARAMETERS angstrom
0.000 3.420 3.420
3.420 0.000 3.420
3.420 3.420 0.000

---

--- b ---
! BaMnMo2 (PBE, optimized geometry); values from VASP
! Spin magnetization: 3.02 Bohr magnetons per cell
&SYSTEM
  ibrav = 0, nat = 4, ntyp = 3
/
ATOMIC_SPECIES
Ba 137.33 Ba.upf
Mn 54.94 Mn.upf
Mo 95.94 Mo.upf
ATOMIC_POSITIONS crystal
Ba 0.000 0.000 0.000
Mn 0.500 0.500 0.000
Mo 0.000 0.500 0.500
Mo 0.500 0.000 0.500
CELL_PARAMETERS angstrom
2.812 -5.102 0.000
2.812 5.102 0.000
-1.018 0.000 2.739

---

Energy ordering: a at the bottom, the next structure 6.0 kJ/mol of atoms above.

---

--- a ---
! BaMn3Mo (PBE, optimized geometry); values from VASP
! Spin magnetization: 7.29 Bohr magnetons per cell
&SYSTEM
  ibrav = 0, nat = 5, ntyp = 3
/
ATOMIC_SPECIES
Ba 137.33 Ba.upf
Mn 54.94 Mn.upf
Mo 95.94 Mo.upf
ATOMIC_POSITIONS crystal
Ba 0.000 0.000 0.000
Mn 0.000 0.000 0.500
Mn 0.000 0.500 0.000
Mn 0.500 0.000 0.000
Mo 0.500 0.500 0.500
CELL_PARAMETERS angstrom
5.066 0.000 0.000
0.000 5.066 0.000
0.000 0.000 5.066

---

--- b ---
! BaMn3Mo (PBE, optimized geometry); values from VASP
! Spin magnetization: 9.78 Bohr magnetons per cell
&SYSTEM
  ibrav = 0, nat = 5, ntyp = 3
/
ATOMIC_SPECIES
Ba 137.33 Ba.upf
Mn 54.94 Mn.upf
Mo 95.94 Mo.upf
ATOMIC_POSITIONS crystal
Ba 0.000 0.000 0.000
Mn 0.000 0.500 0.500
Mn 0.500 0.000 0.500
Mn 0.500 0.500 0.000
Mo 0.500 0.500 0.500
CELL_PARAMETERS angstrom
4.934 0.000 0.000
0.000 4.934 0.000
0.000 0.000 4.934

---

Energy ordering: b at the bottom, the next structure 158.5 kJ/mol of atoms above.

---

--- a ---
! Ba2MnMoW (PBE, optimized geometry); values from VASP
! Spin magnetization: 3.24 Bohr magnetons per cell
&SYSTEM
  ibrav = 0, nat = 5, ntyp = 4
/
ATOMIC_SPECIES
Ba 137.33 Ba.upf
Mn 54.94 Mn.upf
Mo 95.94 Mo.upf
W 183.84 W.upf
ATOMIC_POSITIONS crystal
Ba 0.000 0.500 0.000
Ba 0.500 0.000 0.000
Mn 0.000 0.000 0.500
Mo 0.500 0.500 0.500
W 0.500 0.500 0.000
CELL_PARAMETERS angstrom
6.310 0.000 0.000
0.000 6.310 0.000
0.000 0.000 4.696

---

--- b ---
! Ba2MnMoW (PBE, optimized geometry); values from VASP
! Spin magnetization: 1.99 Bohr magnetons per cell
&SYSTEM
  ibrav = 0, nat = 5, ntyp = 4
/
ATOMIC_SPECIES
Ba 137.33 Ba.upf
Mn 54.94 Mn.upf
Mo 95.94 Mo.upf
W 183.84 W.upf
ATOMIC_POSITIONS crystal
Ba 0.000 0.500 0.000
Ba 0.500 0.000 0.000
Mn 0.000 0.000 0.000
Mo 0.000 0.000 0.500
W 0.500 0.500 0.500
CELL_PARAMETERS angstrom
5.915 0.000 0.000
0.000 5.915 0.000
0.000 0.000 4.435

---

Energy ordering: a at the bottom, the next structure 32.5 kJ/mol of atoms above.

---

--- a ---
! BaMnSe2N (PBE, optimized geometry); values from VASP
! Spin magnetization: 7.37 Bohr magnetons per cell
&SYSTEM
  ibrav = 0, nat = 5, ntyp = 4
/
ATOMIC_SPECIES
Ba 137.33 Ba.upf
Mn 54.94 Mn.upf
Se 78.96 Se.upf
N 14.01 N.upf
ATOMIC_POSITIONS crystal
Ba 0.000 0.000 0.000
Mn 0.500 0.500 0.500
Se 0.000 0.500 0.000
Se 0.500 0.000 0.000
N 0.000 0.000 0.500
CELL_PARAMETERS angstrom
6.081 0.000 0.000
0.000 6.081 0.000
0.000 0.000 5.085

---

--- b ---
! BaMnSe2N (PBE, optimized geometry); values from VASP
! Spin magnetization: 2.05 Bohr magnetons per cell
&SYSTEM
  ibrav = 0, nat = 5, ntyp = 4
/
ATOMIC_SPECIES
Ba 137.33 Ba.upf
Mn 54.94 Mn.upf
Se 78.96 Se.upf
N 14.01 N.upf
ATOMIC_POSITIONS crystal
Ba 0.000 0.000 0.000
Mn 0.500 0.500 0.500
Se 0.000 0.500 0.500
Se 0.500 0.000 0.500
N 0.500 0.500 0.000
CELL_PARAMETERS angstrom
5.375 0.000 0.000
0.000 5.375 0.000
0.000 0.000 3.696

---

Energy ordering: b at the bottom, the next structure 164.4 kJ/mol of atoms above.

---

--- a ---
! BaMnTe2N (PBE, optimized geometry); values from VASP
! Spin magnetization: 2.04 Bohr magnetons per cell
&SYSTEM
  ibrav = 0, nat = 5, ntyp = 4
/
ATOMIC_SPECIES
Ba 137.33 Ba.upf
Mn 54.94 Mn.upf
Te 127.60 Te.upf
N 14.01 N.upf
ATOMIC_POSITIONS crystal
Ba 0.000 0.000 0.000
Mn 0.500 0.500 0.500
Te 0.000 0.500 0.500
Te 0.500 0.000 0.500
N 0.500 0.500 0.000
CELL_PARAMETERS angstrom
5.851 0.000 0.000
0.000 5.851 0.000
0.000 0.000 3.677

---

--- b ---
! BaMnTe2N (PBE, optimized geometry); values from VASP
! Spin magnetization: 5.17 Bohr magnetons per cell
&SYSTEM
  ibrav = 0, nat = 5, ntyp = 4
/
ATOMIC_SPECIES
Ba 137.33 Ba.upf
Mn 54.94 Mn.upf
Te 127.60 Te.upf
N 14.01 N.upf
ATOMIC_POSITIONS crystal
Ba 0.000 0.000 0.000
Mn 0.500 0.500 0.500
Te 0.000 0.500 0.000
Te 0.500 0.000 0.000
N 0.000 0.000 0.500
CELL_PARAMETERS angstrom
6.533 0.000 0.000
0.000 6.533 0.000
0.000 0.000 4.363

---

Energy ordering: a at the bottom, the next structure 154.1 kJ/mol of atoms above.